ZrMnFe: single point on PBEsol structure, meta-GGA SCAN.

Cell: 5.7735 5.7735 5.7735 Å, 90.00 90.00 90.00°
Space group F-43m (No. 216)
Unique sites:
1 Zr 0.0000 0.0000 0.0000 (multiplicity 4)
2 Mn 0.0000 0.0000 0.5000 (multiplicity 4)
3 Fe 0.2500 0.2500 0.2500 (multiplicity 4)

Summary:
* DFT formation energy: 0.34 eV per atom
* excess energy over the best structure of this formula in the dataset: 511 meV per atom